1.
Material: AlFeAgIr
Method: DFT, PBE
State: optimized geometry

* E: -5.91 eV per atom
* magnetic moment: 0.682 μB per atom
* polymorph energy (0 for the lowest one): 0.0 meV/atom
* V: 14.59 Å³/atom

Geometry as CIF:
```
data_AlFeAgIr
_chemical_formula_sum 'Al4 Fe4 Ag4 Ir4'
_cell_length_a 6.157
_cell_length_b 6.157
_cell_length_c 6.157
_cell_angle_alpha 90.00
_cell_angle_beta 90.00
_cell_angle_gamma 90.00
_symmetry_space_group_name_H-M 'F -4 3 m'
_symmetry_Int_Tables_number 216
_symmetry_space_group_name_Hall 'F -4 2 3'
loop_
_atom_site_label
_atom_site_type_symbol
_atom_site_fract_x
_atom_site_fract_y
_atom_site_fract_z
_atom_site_occupancy
Al1 Al 0.000 0.000 0.000 1
Fe1 Fe 0.250 0.250 0.250 1
Ag1 Ag 0.000 0.000 0.500 1
Ir1 Ir 0.250 0.250 0.750 1
```


2.
Material: NaMoPdAu
Method: DFT, PBE
State: optimized geometry

* E: -4.66 eV per atom
* magnetic moment: 0.001 μB per atom
* polymorph energy (0 for the lowest one): 83.0 meV/atom
* V: 16.47 Å³/atom

Geometry as CIF:
```
data_NaMoPdAu
_chemical_formula_sum 'Na4 Mo4 Pd4 Au4'
_cell_length_a 6.411
_cell_length_b 6.411
_cell_length_c 6.411
_cell_angle_alpha 90.00
_cell_angle_beta 90.00
_cell_angle_gamma 90.00
_symmetry_space_group_name_H-M 'F -4 3 m'
_symmetry_Int_Tables_number 216
_symmetry_space_group_name_Hall 'F -4 2 3'
loop_
_atom_site_label
_atom_site_type_symbol
_atom_site_fract_x
_atom_site_fract_y
_atom_site_fract_z
_atom_site_occupancy
Na1 Na 0.000 0.000 0.000 1
Mo1 Mo 0.250 0.250 0.750 1
Pd1 Pd 0.000 0.000 0.500 1
Au1 Au 0.250 0.250 0.250 1
```


3.
Material: ZrB4H16
Method: DFT, PBE
State: optimized geometry

* E: -4.42 eV per atom
* magnetic moment: 0.000 μB per atom
* V: 8.66 Å³/atom

Geometry as CIF:
```
data_ZrB4H16
_chemical_formula_sum 'Zr1 B4 H16'
_cell_length_a 5.666
_cell_length_b 5.666
_cell_length_c 5.666
_cell_angle_alpha 90.00
_cell_angle_beta 90.00
_cell_angle_gamma 90.00
_symmetry_space_group_name_H-M 'P -4 3 m'
_symmetry_Int_Tables_number 215
_symmetry_space_group_name_Hall 'P -4 2 3'
loop_
_atom_site_label
_atom_site_type_symbol
_atom_site_fract_x
_atom_site_fract_y
_atom_site_fract_z
_atom_site_occupancy
Zr1 Zr 0.000 0.000 0.000 1
B1 B 0.234 0.234 0.766 1
H1 H 0.018 0.267 0.733 1
H2 H 0.356 0.356 0.644 1
```


4.
Material: LiFeCu4Si2
Method: DFT, PBE
State: optimized geometry

* E: -4.56 eV per atom
* magnetic moment: 0.341 μB per atom
* V: 11.54 Å³/atom

Geometry as CIF:
```
data_LiFeCu4Si2
_chemical_formula_sum 'Li1 Fe1 Cu4 Si2'
_cell_length_a 3.969
_cell_length_b 3.969
_cell_length_c 5.861
_cell_angle_alpha 90.00
_cell_angle_beta 90.00
_cell_angle_gamma 90.00
_symmetry_space_group_name_H-M 'P 4/m m m'
_symmetry_Int_Tables_number 123
_symmetry_space_group_name_Hall '-P 4 2'
loop_
_atom_site_label
_atom_site_type_symbol
_atom_site_fract_x
_atom_site_fract_y
_atom_site_fract_z
_atom_site_occupancy
Li1 Li 0.000 0.000 0.000 1
Fe1 Fe 0.500 0.500 0.500 1
Cu1 Cu 0.000 0.500 0.237 1
Si1 Si 0.000 0.000 0.500 1
Si2 Si 0.500 0.500 0.000 1
```


5.
Material: Y5Er3Te
Method: DFT, PBE
State: optimized geometry

* E: -5.75 eV per atom
* magnetic moment: 0.022 μB per atom
* polymorph energy (0 for the lowest one): 0.0 meV/atom
* V: 30.87 Å³/atom

Geometry as CIF:
```
data_Y5Er3Te
_chemical_formula_sum 'Y5 Er3 Te1'
_cell_length_a 9.2264
_cell_length_b 9.2264
_cell_length_c 3.7684
_cell_angle_alpha 90.00
_cell_angle_beta 90.00
_cell_angle_gamma 120.00
_symmetry_space_group_name_H-M 'P -6 2 m'
_symmetry_Int_Tables_number 189
_symmetry_space_group_name_Hall 'P -6 -2'
loop_
_atom_site_label
_atom_site_type_symbol
_atom_site_fract_x
_atom_site_fract_y
_atom_site_fract_z
_atom_site_occupancy
Y1 Y 0.0000 0.2733 0.0000 1
Y2 Y 0.3333 0.6667 0.0000 1
Er1 Er 0.0000 0.6166 0.5000 1
Te1 Te 0.0000 0.0000 0.5000 1
```


6.
Material: PmGdFe
Method: DFT, PBE
State: optimized geometry

* E: -5.66 eV per atom
* magnetic moment: 0.108 μB per atom
* polymorph energy (0 for the lowest one): 0.0 meV/atom
* V: 25.20 Å³/atom

Geometry as CIF:
```
data_PmGdFe
_chemical_formula_sum 'Pm4 Gd4 Fe4'
_cell_length_a 6.712
_cell_length_b 6.712
_cell_length_c 6.712
_cell_angle_alpha 90.00
_cell_angle_beta 90.00
_cell_angle_gamma 90.00
_symmetry_space_group_name_H-M 'F -4 3 m'
_symmetry_Int_Tables_number 216
_symmetry_space_group_name_Hall 'F -4 2 3'
loop_
_atom_site_label
_atom_site_type_symbol
_atom_site_fract_x
_atom_site_fract_y
_atom_site_fract_z
_atom_site_occupancy
Pm1 Pm 0.000 0.000 0.000 1
Gd1 Gd 0.000 0.000 0.500 1
Fe1 Fe 0.250 0.250 0.750 1
```


7.
Material: ZnS
Method: DFT, PBE
State: optimized geometry

* E: -3.27 eV per atom
* V: 21.10 Å³/atom

Geometry as CIF:
```
data_ZnS
_chemical_formula_sum 'Zn2 S2'
_cell_length_a 4.014
_cell_length_b 4.014
_cell_length_c 5.237
_cell_angle_alpha 90.00
_cell_angle_beta 90.00
_cell_angle_gamma 90.00
_symmetry_space_group_name_H-M 'P 4/n m m'
_symmetry_Int_Tables_number 129
loop_
_symmetry_equiv_pos_as_xyz
'x,y,z'
'-x,-y,-z'
'-y+1/2,x,z'
'y+1/2,-x,-z'
'-x+1/2,-y+1/2,z'
'x+1/2,y+1/2,-z'
'y,-x+1/2,z'
'-y,x+1/2,-z'
'x+1/2,-y,-z'
'-x+1/2,y,z'
'-y,-x,-z'
'y,x,z'
'-x,y+1/2,-z'
'x,-y+1/2,z'
'y+1/2,x+1/2,-z'
'-y+1/2,-x+1/2,z'
loop_
_atom_site_label
_atom_site_type_symbol
_atom_site_fract_x
_atom_site_fract_y
_atom_site_fract_z
_atom_site_occupancy
Zn1 Zn 0.250 0.750 0.000 1
S1 S 0.250 0.250 0.254 1
```


8.
Material: AgHgSeO
Method: DFT, PBE
State: optimized geometry

* E: -2.94 eV per atom
* polymorph energy (0 for the lowest one): 39.3 meV/atom
* V: 18.73 Å³/atom

Geometry as CIF:
```
data_AgHgSeO
_chemical_formula_sum 'Ag4 Hg4 Se4 O4'
_cell_length_a 6.280
_cell_length_b 3.722
_cell_length_c 12.817
_cell_angle_alpha 90.00
_cell_angle_beta 90.00
_cell_angle_gamma 90.00
_symmetry_space_group_name_H-M 'P n m a'
_symmetry_Int_Tables_number 62
loop_
_symmetry_equiv_pos_as_xyz
'x,y,z'
'-x,-y,-z'
'-x+1/2,-y,z+1/2'
'x+1/2,y,-z+1/2'
'x+1/2,-y+1/2,-z+1/2'
'-x+1/2,y+1/2,z+1/2'
'-x,y+1/2,-z'
'x,-y+1/2,z'
loop_
_atom_site_label
_atom_site_type_symbol
_atom_site_fract_x
_atom_site_fract_y
_atom_site_fract_z
_atom_site_occupancy
Ag1 Ag 0.044 0.250 0.248 1
Hg1 Hg 0.246 0.250 0.969 1
Se1 Se 0.205 0.250 0.625 1
O1 O 0.208 0.750 0.866 1
```


9.
Material: YNbO4
Method: DFT, PBE
State: optimized geometry

* E: -9.07 eV per atom
* magnetic moment: 0.000 μB per atom
* V: 15.31 Å³/atom

Geometry as CIF:
```
data_YNbO4
_chemical_formula_sum 'Y4 Nb4 O16'
_cell_length_a 13.446
_cell_length_b 3.983
_cell_length_c 7.154
_cell_angle_alpha 90.00
_cell_angle_beta 106.48
_cell_angle_gamma 90.00
_symmetry_space_group_name_H-M 'C 1 2/m 1'
_symmetry_Int_Tables_number 12
loop_
_symmetry_equiv_pos_as_xyz
'x,y,z'
'-x,-y,-z'
'-x,y,-z'
'x,-y,z'
'x+1/2,y+1/2,z'
'-x+1/2,-y+1/2,-z'
'-x+1/2,y+1/2,-z'
'x+1/2,-y+1/2,z'
loop_
_atom_site_label
_atom_site_type_symbol
_atom_site_fract_x
_atom_site_fract_y
_atom_site_fract_z
_atom_site_occupancy
Y1 Y 0.194 0.000 0.286 1
Nb1 Nb 0.098 0.000 0.707 1
O1 O 0.050 0.000 0.372 1
O2 O 0.124 0.500 0.694 1
O3 O 0.128 0.000 0.974 1
O4 O 0.241 0.000 0.642 1
```


10.
Material: Tl2Ag2O5
Method: DFT, PBE
State: optimized geometry

* E: -4.03 eV per atom
* V: 14.72 Å³/atom

Geometry as CIF:
```
data_Tl2Ag2O5
_chemical_formula_sum 'Tl2 Ag2 O5'
_cell_length_a 3.986
_cell_length_b 3.986
_cell_length_c 8.335
_cell_angle_alpha 90.00
_cell_angle_beta 90.00
_cell_angle_gamma 90.00
_symmetry_space_group_name_H-M 'P 4/m m m'
_symmetry_Int_Tables_number 123
_symmetry_space_group_name_Hall '-P 4 2'
loop_
_atom_site_label
_atom_site_type_symbol
_atom_site_fract_x
_atom_site_fract_y
_atom_site_fract_z
_atom_site_occupancy
Tl1 Tl 0.000 0.000 0.000 1
Tl2 Tl 0.000 0.000 0.500 1
Ag1 Ag 0.500 0.500 0.233 1
O1 O 0.000 0.500 0.165 1
O2 O 0.500 0.500 0.500 1
```


11.
Material: RbZrB
Method: DFT, PBE
State: optimized geometry

* E: -3.82 eV per atom
* magnetic moment: 0.001 μB per atom
* polymorph energy (0 for the lowest one): 0.0 meV/atom
* V: 23.35 Å³/atom

Geometry as CIF:
```
data_RbZrB
_chemical_formula_sum 'Rb4 Zr4 B4'
_cell_length_a 6.543
_cell_length_b 6.543
_cell_length_c 6.543
_cell_angle_alpha 90.00
_cell_angle_beta 90.00
_cell_angle_gamma 90.00
_symmetry_space_group_name_H-M 'F -4 3 m'
_symmetry_Int_Tables_number 216
_symmetry_space_group_name_Hall 'F -4 2 3'
loop_
_atom_site_label
_atom_site_type_symbol
_atom_site_fract_x
_atom_site_fract_y
_atom_site_fract_z
_atom_site_occupancy
Rb1 Rb 0.000 0.000 0.000 1
Zr1 Zr 0.000 0.000 0.500 1
B1 B 0.250 0.250 0.250 1
```


12.
Material: Hf2Si2Mo
Method: DFT, PBE
State: optimized geometry

* E: -9.10 eV per atom
* magnetic moment: 0.000 μB per atom
* polymorph energy (0 for the lowest one): 0.0 meV/atom
* V: 16.76 Å³/atom

Geometry as CIF:
```
data_Hf2Si2Mo
_chemical_formula_sum 'Hf4 Si4 Mo2'
_cell_length_a 6.670
_cell_length_b 6.670
_cell_length_c 3.766
_cell_angle_alpha 90.00
_cell_angle_beta 90.00
_cell_angle_gamma 90.00
_symmetry_space_group_name_H-M 'P 4/m b m'
_symmetry_Int_Tables_number 127
_symmetry_space_group_name_Hall '-P 4 2ab'
loop_
_atom_site_label
_atom_site_type_symbol
_atom_site_fract_x
_atom_site_fract_y
_atom_site_fract_z
_atom_site_occupancy
Hf1 Hf 0.174 0.326 0.000 1
Si1 Si 0.128 0.628 0.500 1
Mo1 Mo 0.000 0.000 0.500 1
```